1.
ZrNb2ZnH, optimized geometry, DFT PBE-GGA; total DFT energy (no corrections) = -33.630 eV per formula unit; density of states at the Fermi level = 4.8 states/eV/f.u.; relative energy among the computed polymorphs = 6.8 kJ/mol of atoms
1.0
-0.715 -2.047 -3.417
-2.658 -2.340 1.958
-3.430 2.996 -1.077
Zr Zn H Nb
1 1 1 2
Cartesian
-3.402 -0.695 -1.268
-1.715 1.498 -0.538
0.000 0.000 0.000
-1.329 -1.170 0.979
-0.357 -1.023 -1.708

2.
Y2ZrMo, optimized geometry, DFT PBE-GGA; total DFT energy (no corrections) = -30.683 eV per formula unit; density of states at the Fermi level = 6.1 states/eV/f.u.; relative energy among the computed polymorphs = 27.4 kJ/mol of atoms; ΔE_f = 0.406 eV per atom
1.0
3.126 0.000 0.000
0.000 4.904 0.000
0.000 0.000 6.213
Y Zr Mo
2 1 1
Cartesian
0.000 0.000 6.138
0.000 0.000 3.181
1.563 2.452 1.553
1.563 2.452 4.660

3.
LiNdZn2Ge2, optimized geometry, DFT PBE-GGA; total DFT energy (no corrections) = -21.481 eV per formula unit; density of states at the Fermi level = 1.1 states/eV/f.u.; ΔE_f = -0.503 eV per atom
1.0
-3.418 2.167 -1.452
1.960 -2.869 -2.532
-4.223 -5.030 2.432
Ge Zn Nd Li
2 2 1 1
Cartesian
-0.937 -2.506 -1.535
-4.743 -3.226 -0.016
-2.669 -4.569 -0.538
-3.012 -1.163 -1.013
0.000 0.000 0.000
-2.112 -2.515 1.216

4.
CaPAu3, optimized geometry, DFT PBE-GGA; total DFT energy (no corrections) = -11.941 eV per formula unit; density of states at the Fermi level = 4.6 states/eV/f.u.; relative energy among the computed polymorphs = 127.9 kJ/mol of atoms; ΔE_f = 1.061 eV per atom
1.0
-5.337 0.256 -0.814
-0.846 -2.286 4.824
-0.116 4.891 2.297
Ca Au P
1 3 1
Cartesian
0.000 0.000 0.000
-0.423 -1.143 2.412
-0.058 2.445 1.148
-2.668 0.128 -0.407
-3.149 1.430 3.153

5.
Ho5Tl2Hg2, optimized geometry, DFT PBE-GGA; total DFT energy (no corrections) = -31.278 eV per formula unit; density of states at the Fermi level = 5.9 states/eV/f.u.; ΔE_f = -0.339 eV per atom
1.0
-5.087 -1.093 5.058
-1.351 -7.858 -3.056
6.333 0.990 6.584
Ho Hg Tl
10 4 4
Cartesian
3.525 -0.835 5.015
-3.219 -4.475 1.001
-0.451 -4.497 7.336
0.347 -3.464 1.249
-2.022 -2.996 4.173
-1.260 -7.593 0.648
1.918 -4.965 4.413
0.000 0.000 0.000
-3.630 -7.126 3.571
1.156 -0.368 7.938
-4.314 -7.412 0.520
-4.956 -3.765 3.357
-1.482 -5.186 -1.356
-2.123 -1.539 1.481
-0.838 -5.712 3.128
2.381 -1.237 2.128
0.734 -2.249 5.457
2.602 -5.631 1.400

6.
AcSnIr2, optimized geometry, DFT PBE-GGA; total DFT energy (no corrections) = -27.926 eV per formula unit; density of states at the Fermi level = 3.4 states/eV/f.u.; ΔE_f = -0.523 eV per atom
1.0
4.428 0.000 0.000
0.000 5.720 0.000
0.000 0.000 7.335
Ac Ir Sn
2 4 2
Cartesian
0.000 1.430 5.293
0.000 4.290 2.041
2.214 2.860 0.000
0.000 1.430 0.940
2.214 0.000 0.000
0.000 4.290 6.395
2.214 1.430 2.459
2.214 4.290 4.876

7.
LaReHg, optimized geometry, DFT PBE-GGA; total DFT energy (no corrections) = -16.062 eV per formula unit; density of states at the Fermi level = 3.3 states/eV/f.u.; relative energy among the computed polymorphs = 0.0 kJ/mol of atoms; ΔE_f = 0.538 eV per atom
1.0
6.146 0.067 -0.023
3.999 4.668 0.023
-4.753 -3.052 2.424
Re La Hg
1 1 1
Cartesian
6.617 3.088 0.000
3.255 1.519 0.000
0.273 0.128 0.000